First-principles (GGA-PBE) data for a geometry-optimized Fe2CoCu structure, as listed in the Alexandria database.

Cell lengths 2.519, 3.621, 5.083 Å; angles 90.00, 90.00, 90.00 degrees
Site moments in Bohr magnetons follow the coordinates.
Fractional positions:
Co  0.000  0.000  0.492  1.57
Fe  0.000  0.000  0.001  2.60
Cu  0.500  0.500  0.749  0.10
Fe  0.500  0.500  0.258  2.43

Results
Excess energy over the best structure of this formula in the dataset (meV/atom): 39.6
D(E_F) (states/eV per cell): 3.54
DFT formation energy (meV/atom): 106.7